(1)
In2MoW | PBE-GGA | relaxed

The value obtained for the formation energy is 745 meV/atom. The relative energy among the computed polymorphs comes out at 0.4478 eV per atom. The total energy comes out at -26.28 eV/cell. The calculation puts the density at 11.465 g cm⁻³. The calculated volume comes out at 18.45 Å³ per atom. Its density of states at the Fermi level is 5.0 states/eV per cell.

The space group is P4/mmm (No. 123) and the conventional cell measures 5.029, 5.029 and 2.918 Å, with angles of 90.00, 90.00 and 90.00 degrees. The distinct sites, in fractional coordinates, are In at (0.000, 0.500, 0.000), Mo at (0.000, 0.000, 0.500) and W at (0.500, 0.500, 0.500).



(2)
TbPr2DyEr4 | PBE-GGA | relaxed

The value obtained for the formation energy is 24 meV/atom. The total energy comes out at -36.85 eV/cell. The calculation puts the density at 8.215 g cm⁻³. The calculated volume comes out at 32.15 Å³ per atom. Its density of states at the Fermi level is 11.4 states/eV per cell.

The space group is Pmmm (No. 47) and the conventional cell measures 5.058, 5.087 and 9.994 Å, with angles of 90.00, 90.00 and 90.00 degrees. The distinct sites, in fractional coordinates, are Tb at (0.000, 0.000, 0.000), Pr at (0.000, 0.000, 0.500), Pr at (0.500, 0.500, 0.000), Dy at (0.500, 0.500, 0.500), Er at (0.000, 0.500, 0.251) and Er at (0.500, 0.000, 0.250).



(3)
CsRb3Sb2O6 | PBE-GGA | relaxed

The total energy comes out at -57.61 eV/cell. The calculation puts the density at 3.751 g cm⁻³. The calculated volume comes out at 26.89 Å³ per atom. Its density of states at the Fermi level is 2.3 states/eV per cell. Its uncorrected formation energy is -1322 meV per atom.

The space group is P-3m1 (No. 164) and the conventional cell measures 6.9093, 6.9093 and 7.8038 Å, with angles of 90.00, 90.00 and 120.00 degrees. The distinct sites, in fractional coordinates, are Cs at (0.0000, 0.0000, 0.0000), Rb at (0.0000, 0.0000, 0.5000), Rb at (0.3333, 0.6667, 0.1495), Sb at (0.3333, 0.6667, 0.6696) and O at (0.1846, 0.3692, 0.7611).



(4)
Th2Be3Si4Os | PBE-GGA | relaxed

The total energy comes out at -63.34 eV/cell. The calculation puts the density at 8.242 g cm⁻³. The calculated volume comes out at 15.99 Å³ per atom. Its density of states at the Fermi level is 5.9 states/eV per cell. Its uncorrected formation energy is -440 meV per atom.

The space group is P-4m2 (No. 115) and the conventional cell measures 4.058, 4.058 and 9.712 Å, with angles of 90.00, 90.00 and 90.00 degrees. The distinct sites, in fractional coordinates, are Th at (0.000, 0.500, 0.246), Be at (0.000, 0.500, 0.876), Be at (0.500, 0.500, 0.500), Si at (0.000, 0.000, 0.000), Si at (0.000, 0.500, 0.633), Si at (0.500, 0.500, 0.000) and Os at (0.000, 0.000, 0.500).



(5)
BaSnGeRh3 | PBE-GGA | relaxed

The value obtained for the formation energy is -394 meV/atom. The total energy comes out at -139.84 eV/cell. The calculation puts the density at 7.483 g cm⁻³. The calculated volume comes out at 23.57 Å³ per atom. Its density of states at the Fermi level is 16.8 states/eV per cell.

The space group is Cmcm (No. 63) and the conventional cell measures 6.092, 15.239 and 6.094 Å, with angles of 90.00, 90.00 and 90.00 degrees. The distinct sites, in fractional coordinates, are Ba at (0.000, 0.248, 0.250), Sn at (0.000, 0.096, 0.750), Ge at (0.000, 0.423, 0.750), Rh at (0.000, 0.266, 0.750) and Rh at (0.244, 0.500, 0.000).



(6)
Pm3Sm2Al | PBE-GGA | relaxed

The value obtained for the formation energy is -78 meV/atom. The total energy comes out at -55.81 eV/cell. The calculation puts the density at 6.905 g cm⁻³. The calculated volume comes out at 30.57 Å³ per atom. Its density of states at the Fermi level is 15.6 states/eV per cell.

The space group is Cmmm (No. 65) and the conventional cell measures 4.894, 15.313 and 4.895 Å, with angles of 90.00, 90.00 and 90.00 degrees. The distinct sites, in fractional coordinates, are Pm at (0.000, 0.000, 0.000), Pm at (0.000, 0.339, 0.000), Sm at (0.000, 0.160, 0.500) and Al at (0.000, 0.500, 0.500).



(7)
Ta7Mo2W | PBE-GGA | relaxed

The value obtained for the formation energy is 390 meV/atom. The total energy comes out at -113.68 eV/cell. The calculation puts the density at 14.049 g cm⁻³. The calculated volume comes out at 19.41 Å³ per atom. Its density of states at the Fermi level is 9.6 states/eV per cell.

The space group is P3m1 (No. 156) and the conventional cell measures 4.5231, 4.5231 and 10.9565 Å, with angles of 90.00, 90.00 and 120.00 degrees. The distinct sites, in fractional coordinates, are Ta at (0.0000, 0.0000, 0.0000), Ta at (0.0000, 0.0000, 0.2613), Ta at (0.0000, 0.0000, 0.5226), Ta at (0.3333, 0.6667, 0.1642), Ta at (0.3333, 0.6667, 0.6790), Ta at (0.6667, 0.3333, 0.3535), Ta at (0.6667, 0.3333, 0.8412), Mo at (0.0000, 0.0000, 0.7609), Mo at (0.6667, 0.3333, 0.0902) and W at (0.3333, 0.6667, 0.4282).



(8)
KMn2Fe | PBE-GGA | relaxed

The value obtained for the formation energy is 868 meV/atom. The relative energy among the computed polymorphs comes out at 0.1693 eV per atom. The total energy comes out at -24.43 eV/cell. The calculation puts the density at 4.689 g cm⁻³. The calculated volume comes out at 18.13 Å³ per atom. Its density of states at the Fermi level is 4.5 states/eV per cell.

The space group is P2/m (No. 10) and the conventional cell measures 2.599, 3.850 and 7.251 Å, with angles of 90.00, 90.18 and 90.00 degrees. The distinct sites, in fractional coordinates, are K at (0.000, 0.000, 0.000), Mn at (0.001, 0.500, 0.633) and Fe at (0.500, 0.000, 0.500).



(9)
BiAsNO2 | PBE-GGA | relaxed

The total energy comes out at -27.73 eV/cell. The calculation puts the density at 8.831 g cm⁻³. The calculated volume comes out at 12.41 Å³ per atom. Its density of states at the Fermi level is 1.2 states/eV per cell. Its uncorrected formation energy is -191 meV per atom.

The space group is P4/mmm (No. 123) and the conventional cell measures 3.921, 3.921 and 4.035 Å, with angles of 90.00, 90.00 and 90.00 degrees. The distinct sites, in fractional coordinates, are Bi at (0.000, 0.000, 0.000), As at (0.500, 0.500, 0.500), N at (0.500, 0.500, 0.000) and O at (0.000, 0.500, 0.500).



(10)
UNiSnRh | PBE-GGA | relaxed

The value obtained for the formation energy is -312 meV/atom. The total energy comes out at -118.69 eV/cell. The calculation puts the density at 11.823 g cm⁻³. The calculated volume comes out at 18.20 Å³ per atom. Its density of states at the Fermi level is 23.4 states/eV per cell.

The space group is F-43m (No. 216) and the conventional cell measures 6.628, 6.628 and 6.628 Å, with angles of 90.00, 90.00 and 90.00 degrees. The distinct sites, in fractional coordinates, are U at (0.000, 0.000, 0.000), Ni at (0.250, 0.250, 0.250), Sn at (0.000, 0.000, 0.500) and Rh at (0.250, 0.250, 0.750).



(11)
La2ThF11 | PBE-GGA | relaxed

The total energy comes out at -364.95 eV/cell. The calculation puts the density at 4.311 g cm⁻³. The calculated volume comes out at 19.78 Å³ per atom. Its uncorrected formation energy is -3813 meV per atom.

The space group is Ibam (No. 72) and the conventional cell measures 8.845, 10.732 and 11.666 Å, with angles of 90.00, 90.00 and 90.00 degrees. The distinct sites, in fractional coordinates, are La at (0.167, 0.192, 0.000), Th at (0.000, 0.500, 0.250), F at (0.000, 0.000, 0.000), F at (0.095, 0.333, 0.143), F at (0.107, 0.183, 0.500) and F at (0.199, 0.424, 0.364).



(12)
TmCuRh | PBE-GGA | relaxed

The value obtained for the formation energy is -291 meV/atom. The relative energy among the computed polymorphs comes out at 0.3135 eV per atom. The total energy comes out at -33.59 eV/cell. The calculation puts the density at 9.184 g cm⁻³. The calculated volume comes out at 20.21 Å³ per atom. Its density of states at the Fermi level is 4.4 states/eV per cell.

The space group is Cm (No. 8) and the conventional cell measures 7.636, 4.406 and 4.409 Å, with angles of 90.00, 125.15 and 90.00 degrees. The distinct sites, in fractional coordinates, are Tm at (0.000, 0.000, 0.000), Cu at (0.000, 0.500, 0.501) and Rh at (0.250, 0.500, 0.251).